{
  "formula": "MnAsO2",
  "functional": "PBE with a Hubbard U",
  "state": "optimized geometry",
  "vol_a3_per_atom": 14.948,
  "e_tot_ev_per_atom": -6.281,
  "sg": "I-42d, No. 122",
  "mass_density_g_cm3": 4.5,
  "dos_at_fermi_per_ev_fu": 1.160,
  "magmom_total_mub_per_cell": 9.76,
  "cell": [[4.627, 0.000, 0.000], [0.000, 4.627, 0.000], [2.314, 2.314, 5.585]],
  "species": ["As", "As", "O", "O", "O", "O", "Mn", "Mn"],
  "fractional_positions": [[0.750, 0.250, 0.500], [0.000, 0.000, 0.000], [0.875, 0.870, 0.750], [0.620, 0.125, 0.250], [0.375, 0.380, 0.750], [0.130, 0.625, 0.250], [0.250, 0.750, 0.500], [0.500, 0.500, 0.000]]
}